# InCu2Pb (PBE, relaxed)
data_InCu2Pb
_chemical_formula_sum 'In1 Cu2 Pb1'
_cell_length_a 3.504
_cell_length_b 3.440
_cell_length_c 6.723
_cell_angle_alpha 90.00
_cell_angle_beta 98.85
_cell_angle_gamma 90.00
_symmetry_space_group_name_H-M 'P 1 2/m 1'
_symmetry_Int_Tables_number 10
_symmetry_space_group_name_Hall '-P 2y'
loop_
_atom_site_label
_atom_site_fract_x
_atom_site_fract_y
_atom_site_fract_z
In1 0.000 0.000 0.000
Cu1 0.462 0.500 0.799
Pb1 0.000 0.000 0.500
# Energy relative to the elements   213 meV per atom